w.
HoRePO | PBE-GGA | optimized geometry

Unit cell a=4.303 b=4.303 c=6.486 alpha=90.00 beta=90.00 gamma=90.00
Fractional coordinates of all 8 atoms:
Ho  0.500  0.000  0.500
Re  0.500  0.500  0.871
Ho  0.000  0.500  0.500
O  0.500  0.000  0.000
P  0.500  0.500  0.231
O  0.000  0.500  0.000
P  0.000  0.000  0.769
Re  0.000  0.000  0.129

- calculated density (Mg/m³) = 11.01
- total moment (μB per formula unit) = 0.02
- crystal system = tetragonal

=====

x.
HoRePO | PBE-GGA | optimized geometry

Unit cell a=3.907 b=3.907 c=8.259 alpha=90.00 beta=90.00 gamma=90.00
Fractional coordinates of all 8 atoms:
Ho  0.500  0.500  0.868
O  0.000  0.500  0.000
Re  0.000  0.500  0.500
P  0.500  0.500  0.328
Ho  0.000  0.000  0.132
O  0.500  0.000  0.000
P  0.000  0.000  0.672
Re  0.500  0.000  0.500

- calculated density (Mg/m³) = 10.49
- total moment (μB per formula unit) = 0.00
- crystal system = tetragonal

=====

Most stable structure - x; separation to the second - 1751 meV per atom.

=====

w.
HoRePO | PBE-GGA | optimized geometry

Unit cell a=3.963 b=6.106 c=5.516 alpha=90.00 beta=90.00 gamma=90.00
Fractional coordinates of all 8 atoms:
Re  0.500  0.945  0.101
P  0.000  0.181  0.374
O  0.500  0.240  0.917
P  0.000  0.819  0.874
Ho  0.000  0.341  0.862
Re  0.500  0.055  0.601
O  0.500  0.760  0.417
Ho  0.000  0.659  0.362

- calculated density (Mg/m³) = 9.90
- total moment (μB per formula unit) = 0.00
- crystal system = orthorhombic

=====

x.
HoRePO | PBE-GGA | optimized geometry

Unit cell a=4.363 b=4.415 c=6.188 alpha=90.00 beta=90.00 gamma=90.00
Fractional coordinates of all 8 atoms:
O  0.500  0.847  0.434
P  0.000  0.649  0.790
O  0.500  0.153  0.934
Re  0.000  0.855  0.440
P  0.000  0.351  0.290
Ho  0.500  0.312  0.590
Ho  0.500  0.688  0.090
Re  0.000  0.145  0.940

- calculated density (Mg/m³) = 11.09
- total moment (μB per formula unit) = 0.01
- crystal system = orthorhombic

=====

Most stable structure - x; separation to the second - 232 meV per atom.

=====

w.
HoSbPO | PBE-GGA | optimized geometry

Unit cell a=3.664 b=6.595 c=7.068 alpha=90.00 beta=90.00 gamma=90.00
Fractional coordinates of all 8 atoms:
Sb  0.500  0.784  0.542
P  0.000  0.893  0.300
O  0.500  0.543  0.967
Ho  0.000  0.703  0.945
O  0.500  0.457  0.467
P  0.000  0.107  0.800
Sb  0.500  0.216  0.042
Ho  0.000  0.297  0.445

- calculated density (Mg/m³) = 6.49
- total moment (μB per formula unit) = 0.01
- crystal system = orthorhombic

=====

x.
HoSbPO | PBE-GGA | optimized geometry

Unit cell a=4.320 b=5.930 c=6.078 alpha=90.00 beta=90.00 gamma=90.00
Fractional coordinates of all 8 atoms:
O  0.000  0.436  0.399
P  0.500  0.073  0.792
Sb  0.500  0.379  0.479
P  0.500  0.927  0.292
Ho  0.000  0.225  0.083
Sb  0.500  0.621  0.979
Ho  0.000  0.775  0.583
O  0.000  0.564  0.899

- calculated density (Mg/m³) = 7.12
- total moment (μB per formula unit) = 0.00
- crystal system = orthorhombic

=====

y.
HoSbPO | PBE-GGA | optimized geometry

Unit cell a=4.021 b=4.021 c=9.991 alpha=90.00 beta=90.00 gamma=90.00
Fractional coordinates of all 8 atoms:
Sb  0.500  0.500  0.500
Sb  0.000  0.000  0.500
O  0.500  0.500  0.000
P  0.500  0.000  0.270
P  0.000  0.500  0.730
Ho  0.500  0.000  0.897
Ho  0.000  0.500  0.103
O  0.000  0.000  0.000

- calculated density (Mg/m³) = 6.86
- total moment (μB per formula unit) = 0.01
- crystal system = tetragonal

=====

z.
HoSbPO | PBE-GGA | optimized geometry

Unit cell a=5.413 b=5.413 c=5.237 alpha=90.00 beta=90.00 gamma=90.00
Fractional coordinates of all 8 atoms:
Sb  0.500  0.000  0.997
O  0.000  0.000  0.000
Ho  0.500  0.500  0.500
P  0.500  0.000  0.497
Ho  0.000  0.000  0.500
P  0.000  0.500  0.503
Sb  0.000  0.500  0.003
O  0.500  0.500  0.000

- calculated density (Mg/m³) = 7.22
- total moment (μB per formula unit) = 0.00
- crystal system = tetragonal

=====

Most stable structure - y; separation to the second - 56 meV per atom.